# 1
Material: LaBi2Pd2
Method: DFT, PBE
State: relaxed

a = 7.868 Å, b = 7.868 Å, c = 3.958 Å
α = 90.00°, β = 90.00°, γ = 90.00°
Space group P4/mbm (No. 127)
One atom of each set of equivalent atoms:
La 0.000 0.000 0.000 x2
Bi 0.177 0.323 0.500 x4
Pd 0.124 0.624 0.000 x4

## Properties
Electronic total energy in eV/f.u.: -25.69
Magnetization in μB/cell: 0.0

***

# 2
Material: SrSn2As2
Method: DFT, PBE
State: relaxed

a = 4.2731 Å, b = 4.2731 Å, c = 27.1696 Å
α = 90.00°, β = 90.00°, γ = 120.00°
Space group R-3m (No. 166, hexagonal axes)
One atom of each set of equivalent atoms:
Sr 0.0000 0.0000 0.0000 x3
Sn 0.0000 0.0000 0.2097 x6
As 0.0000 0.0000 0.4064 x6

## Properties
Electronic total energy in eV/f.u.: -21.77
Magnetization in μB/cell: 0.0

***

Copy entry 1 word for word.
Material: LaBi2Pd2
Method: DFT, PBE
State: relaxed

a = 7.868 Å, b = 7.868 Å, c = 3.958 Å
α = 90.00°, β = 90.00°, γ = 90.00°
Space group P4/mbm (No. 127)
One atom of each set of equivalent atoms:
La 0.000 0.000 0.000 x2
Bi 0.177 0.323 0.500 x4
Pd 0.124 0.624 0.000 x4

## Properties
Electronic total energy in eV/f.u.: -25.69
Magnetization in μB/cell: 0.0